(1)
The following is a GGA-PBEsol calculation of a relaxed structure of CrCl7, from the Alexandria database.

a = 5.9689 Å, b = 5.9689 Å, c = 5.9689 Å
α = 60.00°, β = 60.00°, γ = 60.00°
With the nearest neighbours (Å) after each atom.
Atoms (fractional coordinates):
Cr (0.0000, 0.0000, 0.0000)  12 Cl 2.98
Cl (0.0000, 0.0000, 0.5000)  2 Cr 2.98, 10 Cl 2.98
Cl (0.0000, 0.5000, 0.0000)  2 Cr 2.98, 10 Cl 2.98
Cl (0.0000, 0.5000, 0.5000)  2 Cr 2.98, 10 Cl 2.98
Cl (0.5000, 0.0000, 0.0000)  2 Cr 2.98, 10 Cl 2.98
Cl (0.5000, 0.0000, 0.5000)  2 Cr 2.98, 10 Cl 2.98
Cl (0.5000, 0.5000, 0.0000)  2 Cr 2.98, 10 Cl 2.98
Cl (0.5000, 0.5000, 0.5000)  12 Cl 2.98

Properties
V: 150 Å³/cell
ΔE_f (raw): 0.514 eV per atom
N(E_F): 1.354 states/eV per atom


(2)
The following is a GGA-PBEsol calculation of a relaxed structure of CrCl, from the Alexandria database.

a = 4.7821 Å, b = 4.7821 Å, c = 4.7821 Å
α = 60.00°, β = 60.00°, γ = 60.00°
With the nearest neighbours (Å) after each atom.
Atoms (fractional coordinates):
Cr (0.1250, 0.1250, 0.1250)  4 Cr 2.93, 4 Cl 2.93
Cr (0.8750, 0.8750, 0.8750)  4 Cl 2.93, 4 Cr 2.93
Cl (0.3750, 0.3750, 0.3750)  4 Cr 2.93, 4 Cl 2.93
Cl (0.6250, 0.6250, 0.6250)  4 Cr 2.93, 4 Cl 2.93

Properties
V: 77 Å³/cell
ΔE_f (raw): 0.640 eV per atom
N(E_F): 1.188 states/eV per atom